This record from the Alexandria database describes an optimized crystal structure of ErCo2. The functional is GGA-PBEsol.

Cell and atoms, written as POSCAR:
```
ErCo2
1.0
0.0000 3.4925 3.4925
3.4925 0.0000 3.4925
3.4925 3.4925 0.0000
Er Co
2 4
Direct
0.1250 0.1250 0.1250
0.8750 0.8750 0.8750
0.0000 0.5000 0.5000
0.5000 0.0000 0.5000
0.5000 0.5000 0.0000
0.5000 0.5000 0.5000
```

Summary:
SG: Fd-3m, No. 227
Energy in eV/atom: -7.06

---

This record from the Alexandria database describes an optimized crystal structure of AlCrNi6. The functional is GGA-PBEsol.

Cell and atoms, written as POSCAR:
```
AlCrNi6
1.0
3.4965 -4.9442 0.0000
3.4965 4.9442 0.0000
0.0000 0.0000 9.8919
Al Cr Ni
4 4 24
Direct
0.0000 0.0000 0.2495
0.0000 0.0000 0.7505
0.2498 0.7502 0.0000
0.7502 0.2498 0.0000
0.2504 0.7496 0.5000
0.5000 0.5000 0.2483
0.5000 0.5000 0.7517
0.7496 0.2504 0.5000
0.0000 0.0000 0.0000
0.0000 0.0000 0.5000
0.1266 0.3785 0.3765
0.1266 0.3785 0.6235
0.1293 0.3771 0.1269
0.1293 0.3771 0.8731
0.2522 0.7478 0.2544
0.2522 0.7478 0.7456
0.3771 0.1293 0.1269
0.3771 0.1293 0.8731
0.3785 0.1266 0.3765
0.3785 0.1266 0.6235
0.5000 0.5000 0.0000
0.5000 0.5000 0.5000
0.6215 0.8734 0.3765
0.6215 0.8734 0.6235
0.6229 0.8707 0.1269
0.6229 0.8707 0.8731
0.7478 0.2522 0.2544
0.7478 0.2522 0.7456
0.8707 0.6229 0.1269
0.8707 0.6229 0.8731
0.8734 0.6215 0.3765
0.8734 0.6215 0.6235
```

Summary:
SG: Cmmm, No. 65
Energy in eV/atom: -6.65